1.
SrDyAl4Pd2: optimized geometry, PBE.

Calculated values
ρ, Mg/m³: 5.85
Magnetization, μB/f.u.: 0.01
DFT total energy, Ry/atom: -0.3392

Lattice parameters (Å, degrees): 7.261 5.636 5.636 44.60 90.00 90.00
Positions (direct):
Al 0.188 0.155 0.155
Al 0.812 0.155 0.155
Al 0.300 0.846 0.846
Al 0.700 0.846 0.846
Dy 0.000 0.437 0.437
Pd 0.500 0.284 0.284
Pd 0.000 0.715 0.715
Sr 0.500 0.562 0.562

---

2.
TbDyAl4Pd2: optimized geometry, PBE.

Calculated values
ρ, Mg/m³: 6.96
Magnetization, μB/f.u.: 0.03
DFT total energy, Ry/atom: -0.3757

Lattice parameters (Å, degrees): 6.964 5.545 5.545 45.72 90.00 90.00
Positions (direct):
Al 0.197 0.143 0.143
Al 0.803 0.143 0.143
Al 0.303 0.857 0.857
Al 0.697 0.857 0.857
Dy 0.500 0.572 0.572
Pd 0.500 0.291 0.291
Pd 0.000 0.710 0.710
Tb 0.000 0.428 0.428

---

3.
DyTmAl2Pd4: optimized geometry, PBE.

Calculated values
ρ, Mg/m³: 9.06
Magnetization, μB/f.u.: 0.01
DFT total energy, Ry/atom: -0.4126

Lattice parameters (Å, degrees): 4.355 4.355 9.054 90.00 90.00 120.00
Positions (direct):
Al 0.000 0.000 0.251
Al 0.000 0.000 0.749
Dy 0.667 0.333 0.000
Pd 0.333 0.667 0.171
Pd 0.667 0.333 0.334
Pd 0.667 0.333 0.666
Pd 0.333 0.667 0.829
Tm 0.333 0.667 0.500

---

4.
DyTmAl4Pd2: optimized geometry, PBE.

Calculated values
ρ, Mg/m³: 7.20
Magnetization, μB/f.u.: 0.01
DFT total energy, Ry/atom: -0.3746

Lattice parameters (Å, degrees): 6.933 5.505 5.505 45.74 90.00 90.00
Positions (direct):
Al 0.198 0.140 0.140
Al 0.802 0.140 0.140
Al 0.304 0.860 0.860
Al 0.696 0.860 0.860
Dy 0.000 0.428 0.428
Pd 0.500 0.290 0.290
Pd 0.000 0.710 0.710
Tm 0.500 0.572 0.572

---

5.
DyYAl2Pd4: optimized geometry, PBE.

Calculated values
ρ, Mg/m³: 8.06
Magnetization, μB/f.u.: 0.01
DFT total energy, Ry/atom: -0.4302

Lattice parameters (Å, degrees): 4.362 4.362 9.138 90.00 90.00 120.00
Positions (direct):
Al 0.333 0.667 0.250
Al 0.333 0.667 0.750
Dy 0.000 0.000 0.500
Pd 0.000 0.000 0.171
Pd 0.667 0.333 0.331
Pd 0.667 0.333 0.669
Pd 0.000 0.000 0.829
Y 0.667 0.333 0.000

---

6.
DyZrAl2Pd4: optimized geometry, PBE.

Calculated values
ρ, Mg/m³: 8.40
Magnetization, μB/f.u.: 0.01
DFT total energy, Ry/atom: -0.4444

Lattice parameters (Å, degrees): 4.341 4.341 8.880 90.00 90.00 120.00
Positions (direct):
Al 0.667 0.333 0.262
Al 0.667 0.333 0.738
Dy 0.333 0.667 0.000
Pd 0.000 0.000 0.175
Pd 0.333 0.667 0.341
Pd 0.333 0.667 0.659
Pd 0.000 0.000 0.825
Zr 0.000 0.000 0.500